Version w
Crystalline NiOsSe2Br at its relaxed geometry. Source: Alexandria via LeMat-Bulk, functional GGA-PBE.

Results
Crystal system = tetragonal

a = 4.7645 Å, b = 4.7645 Å, c = 5.3880 Å
α = 90.00°, β = 90.00°, γ = 90.00°
Last column: nearest neighbours and their distance in Å.
Positions (direct):
Se 0.5000 0.0000 0.0000  2 Os 2.38
Se 0.0000 0.5000 0.0000  2 Os 2.38
Os 0.0000 0.0000 0.0000  4 Se 2.38
Ni 0.5000 0.5000 0.5000  4 Br 3.37, 8 Se 3.60
Br 0.0000 0.0000 0.5000  2 Os 2.69

---

Version x
Crystalline NiOsSe2Br at its relaxed geometry. Source: Alexandria via LeMat-Bulk, functional GGA-PBE.

Results
Crystal system = tetragonal

a = 4.5881 Å, b = 4.5881 Å, c = 4.6530 Å
α = 90.00°, β = 90.00°, γ = 90.00°
Last column: nearest neighbours and their distance in Å.
Positions (direct):
Os 0.5000 0.5000 0.5000  4 Br 3.24, 8 Se 3.27
Se 0.0000 0.5000 0.0000  2 Ni 2.29
Se 0.5000 0.0000 0.0000  2 Ni 2.29
Br 0.0000 0.0000 0.5000  2 Ni 2.33
Ni 0.0000 0.0000 0.0000  4 Se 2.29, 2 Br 2.33

---

Stability check: which of them is least stable? version x.

---

Version w
Crystalline NiPBr2 at its relaxed geometry. Source: Alexandria via LeMat-Bulk, functional GGA-PBE.

Results
Crystal system = monoclinic

a = 3.5742 Å, b = 3.5742 Å, c = 8.4395 Å
α = 81.41°, β = 81.41°, γ = 60.00°
Last column: nearest neighbours and their distance in Å.
Positions (direct):
Ni 0.4406 0.4406 0.4504  3 P 2.27
Br 0.1962 0.1962 0.0706  1 P 2.21
Br 0.7290 0.7290 0.6428  3 Ni 2.61
P 0.1342 0.1342 0.3361  1 Br 2.21, 3 Ni 2.27

---

Version x
Crystalline NiPBr2 at its relaxed geometry. Source: Alexandria via LeMat-Bulk, functional GGA-PBE.

Results
Crystal system = tetragonal

a = 3.2892 Å, b = 3.2892 Å, c = 6.8515 Å
α = 90.00°, β = 90.00°, γ = 90.00°
Last column: nearest neighbours and their distance in Å.
Positions (direct):
Ni 0.5000 0.5000 0.0000  8 Br 2.81
P 0.5000 0.5000 0.5000  8 Br 2.97, 4 P 3.29
Br 0.0000 0.0000 0.7695  4 Ni 2.81, 4 P 2.97
Br 0.0000 0.0000 0.2305  4 Ni 2.81, 4 P 2.97

---

Version y
Crystalline NiPBr2 at its relaxed geometry. Source: Alexandria via LeMat-Bulk, functional GGA-PBE.

Results
Crystal system = tetragonal

a = 4.8477 Å, b = 4.8477 Å, c = 4.8477 Å
α = 63.67°, β = 63.67°, γ = 96.54°
Last column: nearest neighbours and their distance in Å.
Positions (direct):
P 0.5000 0.5000 0.5000  4 Br 2.56
Br 0.5000 0.0000 0.0000  2 Ni 2.56, 2 P 2.56
Br 0.0000 0.5000 0.0000  2 P 2.56, 2 Ni 2.56
Ni 0.0000 0.0000 0.5000  4 Br 2.56

---

Stability check: which of them is least stable? version x.

---

Version w
Crystalline NiPBr2 at its relaxed geometry. Source: Alexandria via LeMat-Bulk, functional GGA-PBE.

Results
Crystal system = tetragonal

a = 3.1775 Å, b = 3.1775 Å, c = 8.7857 Å
α = 90.00°, β = 90.00°, γ = 90.00°
Last column: nearest neighbours and their distance in Å.
Positions (direct):
Ni 0.0000 0.0000 0.6585  4 P 2.35, 1 Br 2.40
Br 0.5000 0.5000 0.3295  1 P 2.20
Br 0.0000 0.0000 0.9317  1 Ni 2.40
P 0.5000 0.5000 0.5804  1 Br 2.20, 4 Ni 2.35

---

Version x
Crystalline NiPBr2 at its relaxed geometry. Source: Alexandria via LeMat-Bulk, functional GGA-PBE.

Results
Crystal system = trigonal

a = 8.9833 Å, b = 8.9833 Å, c = 8.9833 Å
α = 22.30°, β = 22.30°, γ = 22.30°
Last column: nearest neighbours and their distance in Å.
Positions (direct):
P 0.0000 0.0000 0.0000  6 P 3.48, 6 Br 3.52
Br 0.2232 0.2232 0.2232  3 Ni 2.50
Br 0.7768 0.7768 0.7768  3 Ni 2.50
Ni 0.5000 0.5000 0.5000  6 Br 2.50

---

Version y
Crystalline NiPBr2 at its relaxed geometry. Source: Alexandria via LeMat-Bulk, functional GGA-PBE.

Results
Crystal system = monoclinic

a = 7.4921 Å, b = 7.4921 Å, c = 3.5679 Å
α = 87.27°, β = 87.27°, γ = 24.38°
Last column: nearest neighbours and their distance in Å.
Positions (direct):
Br 0.3447 0.3447 0.7618  1 P 2.47
Br 0.6553 0.6553 0.2382  1 P 2.47
P 0.5000 0.5000 0.0000  4 Ni 2.38, 2 Br 2.47
Ni 0.0000 0.0000 0.5000  4 P 2.38

---

Version z
Crystalline NiPBr2 at its relaxed geometry. Source: Alexandria via LeMat-Bulk, functional GGA-PBE.

Results
Crystal system = monoclinic

a = 3.3457 Å, b = 5.2051 Å, c = 5.2671 Å
α = 115.69°, β = 90.00°, γ = 90.00°
Last column: nearest neighbours and their distance in Å.
Positions (direct):
P 0.5000 0.0000 0.0000  2 Ni 2.79
Ni 0.5000 0.5000 0.5000  4 Br 2.34
Br 0.0000 0.6836 0.3133  2 Ni 2.34
Br 0.0000 0.3164 0.6867  2 Ni 2.34

---

Stability check: which of them is least stable? version z.

---

Version w
Crystalline NiPBr2 at its relaxed geometry. Source: Alexandria via LeMat-Bulk, functional GGA-PBE.

Results
Crystal system = monoclinic

a = 3.4008 Å, b = 4.5640 Å, c = 6.7912 Å
α = 71.35°, β = 90.00°, γ = 90.00°
Last column: nearest neighbours and their distance in Å.
Positions (direct):
Ni 0.0000 0.5307 0.4097  2 P 2.15
Br 0.0000 0.9940 0.1067  1 Ni 2.43
Br 0.5000 0.7018 0.6224  2 Ni 2.51, 1 P 2.64
P 0.5000 0.2734 0.3612  2 Ni 2.15

---

Version x
Crystalline NiPBr2 at its relaxed geometry. Source: Alexandria via LeMat-Bulk, functional GGA-PBE.

Results
Crystal system = orthorhombic

a = 8.4756 Å, b = 8.4756 Å, c = 8.4756 Å
α = 156.45°, β = 149.91°, γ = 38.56°
Last column: nearest neighbours and their distance in Å.
Positions (direct):
Br 0.1213 0.1213 0.0000  2 P 2.49
Br 0.3641 0.8641 0.5000  2 Ni 2.38
P 0.5480 0.0480 0.5000  2 Ni 2.17
Ni 0.4666 0.4666 0.0000  2 P 2.17, 2 Br 2.38

---

Version y
Crystalline NiPBr2 at its relaxed geometry. Source: Alexandria via LeMat-Bulk, functional GGA-PBE.

Results
Crystal system = orthorhombic

a = 3.5726 Å, b = 3.5726 Å, c = 8.4545 Å
α = 90.00°, β = 90.00°, γ = 125.68°
Last column: nearest neighbours and their distance in Å.
Positions (direct):
P 0.5000 0.5000 0.0000  4 Br 3.00, 2 P 3.26
Br 0.0000 0.0000 0.7015  2 Ni 2.36
Br 0.0000 0.0000 0.2985  2 Ni 2.36
Ni 0.5000 0.5000 0.5000  4 Br 2.36

---

Version z
Crystalline NiPBr2 at its relaxed geometry. Source: Alexandria via LeMat-Bulk, functional GGA-PBE.

Results
Crystal system = cubic

a = 4.7138 Å, b = 4.7138 Å, c = 4.7138 Å
α = 60.00°, β = 60.00°, γ = 60.00°
Last column: nearest neighbours and their distance in Å.
Positions (direct):
Br 0.7500 0.7500 0.7500  4 P 2.89, 4 Ni 2.89
Br 0.2500 0.2500 0.2500  4 Ni 2.89, 4 P 2.89
Ni 0.5000 0.5000 0.5000  8 Br 2.89
P 0.0000 0.0000 0.0000  8 Br 2.89

---

Stability check: which of them is least stable? version z.

---

Version w
Crystalline NiPBr2 at its relaxed geometry. Source: Alexandria via LeMat-Bulk, functional GGA-PBE.

Results
Crystal system = orthorhombic

a = 3.4014 Å, b = 3.8576 Å, c = 7.0327 Å
α = 90.00°, β = 90.00°, γ = 90.00°
Last column: nearest neighbours and their distance in Å.
Positions (direct):
P 0.0000 0.5000 0.5000  4 Br 2.57
Br 0.5000 0.0000 0.5000  4 P 2.57
Br 0.0000 0.0000 0.0000  4 Ni 2.57
Ni 0.5000 0.5000 0.0000  4 Br 2.57

---

Version x
Crystalline NiPBr2 at its relaxed geometry. Source: Alexandria via LeMat-Bulk, functional GGA-PBE.

Results
Crystal system = tetragonal

a = 7.8227 Å, b = 7.8227 Å, c = 7.8227 Å
α = 153.15°, β = 153.15°, γ = 38.34°
Last column: nearest neighbours and their distance in Å.
Positions (direct):
P 0.7500 0.2500 0.5000  4 Br 2.57
Br 0.2500 0.7500 0.5000  4 P 2.57
Br 0.0000 0.0000 0.0000  4 Ni 2.57
Ni 0.5000 0.5000 0.0000  4 Br 2.57

---

Version y
Crystalline NiPBr2 at its relaxed geometry. Source: Alexandria via LeMat-Bulk, functional GGA-PBE.

Results
Crystal system = cubic

a = 4.7593 Å, b = 4.7593 Å, c = 4.7593 Å
α = 60.00°, β = 60.00°, γ = 60.00°
Last column: nearest neighbours and their distance in Å.
Positions (direct):
P 0.2500 0.2500 0.2500  4 Br 2.91, 4 Ni 2.91
Br 0.0000 0.0000 0.0000  4 Br 2.91, 4 P 2.91
Br 0.7500 0.7500 0.7500  4 Br 2.91, 4 Ni 2.91
Ni 0.5000 0.5000 0.5000  4 Br 2.91, 4 P 2.91

---

Version z
Crystalline NiPBr2 at its relaxed geometry. Source: Alexandria via LeMat-Bulk, functional GGA-PBE.

Results
Crystal system = orthorhombic

a = 8.2398 Å, b = 8.2398 Å, c = 8.2398 Å
α = 156.34°, β = 155.85°, γ = 34.06°
Last column: nearest neighbours and their distance in Å.
Positions (direct):
Ni 0.0000 0.5000 0.5000  4 P 2.41
Br 0.6384 0.6384 0.0000  2 P 2.76, 2 Ni 2.78
Br 0.3616 0.3616 0.0000  2 P 2.76, 2 Ni 2.78
P 0.5000 0.0000 0.5000  4 Ni 2.41

---

Stability check: which of them is least stable? version y.

---

Version w
Crystalline NiPBr2 at its relaxed geometry. Source: Alexandria via LeMat-Bulk, functional GGA-PBE.

Results
Crystal system = tetragonal

a = 6.8701 Å, b = 6.8701 Å, c = 6.0196 Å
α = 55.20°, β = 55.20°, γ = 90.00°
Last column: nearest neighbours and their distance in Å.
Positions (direct):
P 0.2500 0.7500 0.5000  4 Br 2.77
P 0.5000 0.5000 0.0000  4 Br 2.77
Br 0.0873 0.6250 0.2500  2 Ni 2.42
Br 0.3750 0.3373 0.7500  2 Ni 2.42
Br 0.6627 0.1250 0.2500  2 Ni 2.42
Br 0.8750 0.9127 0.7500  2 Ni 2.42
Ni 0.7500 0.2500 0.5000  4 Br 2.42
Ni 0.0000 0.0000 0.0000  4 Br 2.42

---

Version x
Crystalline NiPBr2 at its relaxed geometry. Source: Alexandria via LeMat-Bulk, functional GGA-PBE.

Results
Crystal system = orthorhombic

a = 3.9302 Å, b = 3.9302 Å, c = 8.8978 Å
α = 90.00°, β = 90.00°, γ = 129.22°
Last column: nearest neighbours and their distance in Å.
Positions (direct):
Ni 0.0000 0.0000 0.4619  2 P 2.14, 2 Br 2.38
P 0.5000 0.5000 0.3134  2 Ni 2.14
Br 0.5000 0.5000 0.6511  2 Ni 2.38
Br 0.0000 0.0000 0.0736  2 P 2.72

---

Stability check: which of them is least stable? version w.

---

Version w
Crystalline NiP2Br at its relaxed geometry. Source: Alexandria via LeMat-Bulk, functional GGA-PBE.

Results
Crystal system = orthorhombic

a = 4.3417 Å, b = 4.3417 Å, c = 8.8701 Å
α = 90.00°, β = 90.00°, γ = 136.79°
Last column: nearest neighbours and their distance in Å.
Positions (direct):
Br 0.0000 0.0000 0.5972  2 Ni 2.38
P 0.5000 0.5000 0.1336  2 P 2.14
P 0.0000 0.0000 0.9734  2 P 2.14, 2 Ni 2.24
Ni 0.5000 0.5000 0.7958  2 P 2.24, 2 Br 2.38

---

Version x
Crystalline NiP2Br at its relaxed geometry. Source: Alexandria via LeMat-Bulk, functional GGA-PBE.

Results
Crystal system = tetragonal

a = 4.3645 Å, b = 4.3646 Å, c = 4.3647 Å
α = 70.27°, β = 71.04°, γ = 109.73°
Last column: nearest neighbours and their distance in Å.
Positions (direct):
Ni 0.5000 0.5000 0.0000  4 P 2.51, 2 Br 2.54
P 0.5000 0.0000 0.5000  2 Br 2.51, 2 Ni 2.51, 2 P 2.54
P 0.0000 0.0000 0.0000  2 Ni 2.51, 2 Br 2.51, 2 P 2.54
Br 0.0000 0.5000 0.5000  4 P 2.51, 2 Ni 2.54

---

Stability check: which of them is least stable? version x.

---

Version w
Crystalline NiP2Br at its relaxed geometry. Source: Alexandria via LeMat-Bulk, functional GGA-PBE.

Results
Crystal system = monoclinic

a = 3.4689 Å, b = 3.4689 Å, c = 6.8882 Å
α = 75.33°, β = 75.33°, γ = 59.97°
Last column: nearest neighbours and their distance in Å.
Positions (direct):
Ni 0.2645 0.2645 0.2068  3 P 2.36, 3 Br 2.54
Br 0.5180 0.5180 0.4447  3 Ni 2.54
P 0.9945 0.9945 0.0166  3 P 2.34, 3 Ni 2.36
P 0.7230 0.7230 0.8320  3 P 2.34

---

Version x
Crystalline NiP2Br at its relaxed geometry. Source: Alexandria via LeMat-Bulk, functional GGA-PBE.

Results
Crystal system = tetragonal

a = 3.0042 Å, b = 3.0042 Å, c = 9.1268 Å
α = 90.00°, β = 90.00°, γ = 90.00°
Last column: nearest neighbours and their distance in Å.
Positions (direct):
P 0.0000 0.0000 0.6252  1 P 2.28, 4 Ni 2.41
P 0.0000 0.0000 0.8748  1 P 2.28, 4 Ni 2.41
Br 0.5000 0.5000 0.2500  4 Br 3.00
Ni 0.5000 0.5000 0.7500  8 P 2.41

---

Version y
Crystalline NiP2Br at its relaxed geometry. Source: Alexandria via LeMat-Bulk, functional GGA-PBE.

Results
Crystal system = tetragonal

a = 3.2117 Å, b = 3.2117 Å, c = 7.1152 Å
α = 90.00°, β = 90.00°, γ = 90.00°
Last column: nearest neighbours and their distance in Å.
Positions (direct):
Ni 0.5000 0.5000 0.8045  1 P 2.22
Br 0.0000 0.0000 0.5749  4 Ni 2.80, 1 P 3.06
P 0.0000 0.0000 0.0044  4 P 2.41, 4 Ni 2.68
P 0.5000 0.5000 0.1162  1 Ni 2.22, 4 P 2.41

---

Stability check: which of them is least stable? version y.

---

Version w
Crystalline NiP2Br at its relaxed geometry. Source: Alexandria via LeMat-Bulk, functional GGA-PBE.

Results
Crystal system = tetragonal

a = 8.3753 Å, b = 8.3753 Å, c = 8.3753 Å
α = 156.95°, β = 156.95°, γ = 32.82°
Last column: nearest neighbours and their distance in Å.
Positions (direct):
P 0.5000 0.5000 0.0000  4 P 2.37
P 0.0000 0.0000 0.0000  4 P 2.37
Br 0.2500 0.7500 0.5000  4 Ni 2.37
Ni 0.7500 0.2500 0.5000  4 Br 2.37

---

Version x
Crystalline NiP2Br at its relaxed geometry. Source: Alexandria via LeMat-Bulk, functional GGA-PBE.

Results
Crystal system = monoclinic

a = 3.9660 Å, b = 3.6242 Å, c = 5.7144 Å
α = 66.06°, β = 90.00°, γ = 90.00°
Last column: nearest neighbours and their distance in Å.
Positions (direct):
P 0.0000 0.9230 0.8825  2 P 2.24-2.33, 2 Ni 2.30
P 0.0000 0.5770 0.6175  2 P 2.24-2.33, 2 Ni 2.30
Ni 0.5000 0.7500 0.7500  4 P 2.30
Br 0.5000 0.2500 0.2500  2 Ni 2.69

---

Version y
Crystalline NiP2Br at its relaxed geometry. Source: Alexandria via LeMat-Bulk, functional GGA-PBE.

Results
Crystal system = monoclinic

a = 3.7720 Å, b = 3.7720 Å, c = 7.2992 Å
α = 64.47°, β = 64.47°, γ = 53.11°
Last column: nearest neighbours and their distance in Å.
Positions (direct):
Br 0.7500 0.7500 0.7500  4 P 2.88
P 0.0167 0.0167 0.1120  3 Ni 2.24-2.31
P 0.4833 0.4833 0.3880  3 Ni 2.24-2.31
Ni 0.2500 0.2500 0.2500  6 P 2.24-2.31

---

Stability check: which of them is least stable? version w.

---

Version w
Crystalline Ni3PBr at its relaxed geometry. Source: Alexandria via LeMat-Bulk, functional GGA-PBE.

Results
Crystal system = cubic

a = 4.2970 Å, b = 4.2970 Å, c = 4.2970 Å
α = 90.00°, β = 90.00°, γ = 90.00°
Last column: nearest neighbours and their distance in Å.
Positions (direct):
P 0.0000 0.0000 0.0000  6 Ni 2.15
Ni 0.5000 0.0000 0.0000  2 P 2.15
Ni 0.0000 0.0000 0.5000  2 P 2.15
Ni 0.0000 0.5000 0.0000  2 P 2.15
Br 0.5000 0.5000 0.5000  12 Ni 3.04

---

Version x
Crystalline Ni3PBr at its relaxed geometry. Source: Alexandria via LeMat-Bulk, functional GGA-PBE.

Results
Crystal system = cubic

a = 4.3867 Å, b = 4.3867 Å, c = 4.3867 Å
α = 90.00°, β = 90.00°, γ = 90.00°
Last column: nearest neighbours and their distance in Å.
Positions (direct):
P 0.5000 0.5000 0.5000  12 Ni 3.10
Ni 0.5000 0.0000 0.0000  2 Br 2.19
Ni 0.0000 0.0000 0.5000  2 Br 2.19
Ni 0.0000 0.5000 0.0000  2 Br 2.19
Br 0.0000 0.0000 0.0000  6 Ni 2.19

---

Stability check: which of them is least stable? version x.